Computed, not measured: KNiAg2F6 after structural relaxation at the GGA+U level of DFT.

## Properties
- uncorrected energy (eV per atom) = -3.79

a b c (Å): 5.761 5.965 10.341
angles (deg): 90.00 122.11 90.00
Space group P2_1/c (No. 14)
Symmetry-distinct sites (fractional):
1 K 0.000 0.000 0.000
2 Ni 0.500 0.000 0.500
3 Ag 0.287 0.084 0.771
4 F 0.111 0.086 0.296
5 F 0.342 0.675 0.099
6 F 0.446 0.222 0.087